No. 1
GGA+U FeCo2F, optimized geometry; density of states at the Fermi level = 4.65 states/eV/cell; E = -15.267 eV for the cell shown; symmetry = No. 225
1.0
0.000 2.961 2.961
2.961 0.000 2.961
2.961 2.961 0.000
Fe Co F
1 2 1
Cartesian
0.000 0.000 0.000 Fe
1.481 1.481 1.481 Co
4.442 4.442 4.442 Co
2.961 2.961 2.961 F



No. 2
GGA+U FeCoHgF6, optimized geometry; density of states at the Fermi level = 13.32 states/eV/cell; E = -73.879 eV for the cell shown; symmetry = No. 163
1.0
5.338 0.000 0.000
-2.669 4.623 0.000
0.000 0.000 10.967
Fe Co Hg F
2 2 2 12
Cartesian
0.000 3.082 2.742 Fe
2.669 1.541 8.225 Fe
0.000 3.082 8.225 Co
2.669 1.541 2.742 Co
0.000 0.000 0.000 Hg
0.000 0.000 5.483 Hg
-0.921 1.746 1.678 F
-1.618 2.952 3.805 F
0.921 1.746 3.805 F
-0.696 4.547 1.678 F
1.972 0.075 7.162 F
1.051 1.671 9.288 F
1.618 2.952 1.678 F
0.696 4.547 3.805 F
3.365 0.075 9.288 F
1.748 2.877 7.162 F
4.286 1.671 7.162 F
3.590 2.877 9.288 F



No. 3
GGA+U FeCoI2F, optimized geometry; density of states at the Fermi level = 0.68 states/eV/cell; E = -16.125 eV for the cell shown; symmetry = No. 123
1.0
5.934 0.000 0.000
0.000 5.934 0.000
0.000 0.000 3.794
Fe Co I F
1 1 2 1
Cartesian
0.000 0.000 0.000 Fe
2.967 2.967 0.000 Co
0.000 2.967 1.897 I
2.967 0.000 1.897 I
0.000 0.000 1.897 F